# Tb2InFe PBE optimized geometry
data_Tb2InFe
_symmetry_space_group_name_H-M 'R -3 m'
_symmetry_Int_Tables_number 166
_symmetry_space_group_name_Hall '-R 3 2"'
_cell_length_a 3.5525
_cell_length_b 3.5525
_cell_length_c 30.3414
_cell_angle_alpha 90.00
_cell_angle_beta 90.00
_cell_angle_gamma 120.00
loop_
_atom_site_label
_atom_site_type_symbol
_atom_site_fract_x
_atom_site_fract_y
_atom_site_fract_z
Tb1 Tb 0.0000 0.0000 0.1082
In1 In 0.0000 0.0000 0.0000
Fe1 Fe 0.0000 0.0000 0.5000
# Formation energy from the elements in kJ per mole of atoms: 22.5

# Tb4InFe PBE optimized geometry
data_Tb4InFe
_symmetry_space_group_name_H-M 'C 1 2/c 1'
_symmetry_Int_Tables_number 15
_cell_length_a 8.759
_cell_length_b 12.852
_cell_length_c 6.065
_cell_angle_alpha 90.00
_cell_angle_beta 107.17
_cell_angle_gamma 90.00
loop_
_symmetry_equiv_pos_as_xyz
'x,y,z'
'-x,-y,-z'
'-x,y,-z+1/2'
'x,-y,z+1/2'
'x+1/2,y+1/2,z'
'-x+1/2,-y+1/2,-z'
'-x+1/2,y+1/2,-z+1/2'
'x+1/2,-y+1/2,z+1/2'
loop_
_atom_site_label
_atom_site_type_symbol
_atom_site_fract_x
_atom_site_fract_y
_atom_site_fract_z
Tb1 Tb 0.107 0.162 0.046
Tb2 Tb 0.221 0.421 0.390
In1 In 0.000 0.374 0.750
Fe1 Fe 0.000 0.001 0.250
# Formation energy from the elements in kJ per mole of atoms: -16.8

# Tb3InFe3 PBE optimized geometry
data_Tb3InFe3
_symmetry_space_group_name_H-M 'P 63/m'
_symmetry_Int_Tables_number 176
_symmetry_space_group_name_Hall '-P 6c'
_cell_length_a 9.6269
_cell_length_b 9.6269
_cell_length_c 3.9518
_cell_angle_alpha 90.00
_cell_angle_beta 90.00
_cell_angle_gamma 120.00
loop_
_atom_site_label
_atom_site_type_symbol
_atom_site_fract_x
_atom_site_fract_y
_atom_site_fract_z
Tb1 Tb 0.0673 0.6815 0.2500
In1 In 0.3333 0.6667 0.7500
Fe1 Fe 0.0190 0.8655 0.7500
# Formation energy from the elements in kJ per mole of atoms: -8.6

# InFeTc2 PBE optimized geometry
data_InFeTc2
_symmetry_space_group_name_H-M 'C 1 2/m 1'
_symmetry_Int_Tables_number 12
_cell_length_a 9.344
_cell_length_b 2.894
_cell_length_c 4.695
_cell_angle_alpha 90.00
_cell_angle_beta 105.08
_cell_angle_gamma 90.00
loop_
_symmetry_equiv_pos_as_xyz
'x,y,z'
'-x,-y,-z'
'-x,y,-z'
'x,-y,z'
'x+1/2,y+1/2,z'
'-x+1/2,-y+1/2,-z'
'-x+1/2,y+1/2,-z'
'x+1/2,-y+1/2,z'
loop_
_atom_site_label
_atom_site_type_symbol
_atom_site_fract_x
_atom_site_fract_y
_atom_site_fract_z
In1 In 0.000 0.000 0.000
Fe1 Fe 0.000 0.500 0.500
Tc1 Tc 0.232 0.000 0.716
# Formation energy from the elements in kJ per mole of atoms: 26.2

# InFe2Tc PBE optimized geometry
data_InFe2Tc
_symmetry_space_group_name_H-M 'C m m m'
_symmetry_Int_Tables_number 65
_symmetry_space_group_name_Hall '-C 2 2'
_cell_length_a 3.267
_cell_length_b 4.335
_cell_length_c 8.434
_cell_angle_alpha 90.00
_cell_angle_beta 90.00
_cell_angle_gamma 90.00
loop_
_atom_site_label
_atom_site_type_symbol
_atom_site_fract_x
_atom_site_fract_y
_atom_site_fract_z
In1 In 0.000 0.000 0.000
Fe1 Fe 0.000 0.500 0.266
Tc1 Tc 0.000 0.000 0.500
# Formation energy from the elements in kJ per mole of atoms: 35.0

# InFe2Tc PBE optimized geometry
data_InFe2Tc
_symmetry_space_group_name_H-M 'C m m m'
_symmetry_Int_Tables_number 65
_symmetry_space_group_name_Hall '-C 2 2'
_cell_length_a 5.524
_cell_length_b 7.751
_cell_length_c 2.750
_cell_angle_alpha 90.00
_cell_angle_beta 90.00
_cell_angle_gamma 90.00
loop_
_atom_site_label
_atom_site_type_symbol
_atom_site_fract_x
_atom_site_fract_y
_atom_site_fract_z
In1 In 0.000 0.000 0.000
Fe1 Fe 0.250 0.250 0.500
Tc1 Tc 0.000 0.500 0.000
# Formation energy from the elements in kJ per mole of atoms: 32.0

Number 1: Fermi-level density of states 10.12 states/eV/cell, spin magnetization 1.0 μB per formula unit. Number 2: Fermi-level density of states 25.57 states/eV/cell, spin magnetization 0.0 μB per formula unit. Number 3: Fermi-level density of states 13.51 states/eV/cell, spin magnetization 5.1 μB per formula unit. Number 4: Fermi-level density of states 9.18 states/eV/cell, spin magnetization 1.9 μB per formula unit. Number 5: Fermi-level density of states 6.89 states/eV/cell, spin magnetization 4.9 μB per formula unit. Number 6: Fermi-level density of states 7.19 states/eV/cell, spin magnetization 5.1 μB per formula unit.